Record 1
This record from Alexandria describes a relaxed AgGePd crystal. The functional is PBE-GGA.

Properties
- Excess energy over the best structure of this formula in the dataset: 193.6 meV per atom

Cell and atoms, written as CIF:
```
data_AgGePd
_chemical_formula_sum 'Ag4 Ge4 Pd4'
_cell_length_a 2.993
_cell_length_b 26.183
_cell_length_c 2.813
_cell_angle_alpha 90.00
_cell_angle_beta 90.00
_cell_angle_gamma 90.00
_space_group_name_H-M_alt 'C m c m'
_space_group_IT_number 63
_space_group_name_Hall '-C 2c 2'
loop_
_atom_site_label
_atom_site_type_symbol
_atom_site_fract_x
_atom_site_fract_y
_atom_site_fract_z
Ag1 Ag 0.000 0.210 0.250
Ge1 Ge 0.000 0.119 0.750
Pd1 Pd 0.000 0.454 0.250
```


Record 2
This record from Alexandria describes a relaxed AgGePd3 crystal. The functional is PBE-GGA.

Properties
- Excess energy over the best structure of this formula in the dataset: 0.0 meV per atom

Cell and atoms, written as CIF:
```
data_AgGePd3
_chemical_formula_sum 'Ag2 Ge2 Pd6'
_cell_length_a 6.2146
_cell_length_b 6.2146
_cell_length_c 5.2720
_cell_angle_alpha 90.00
_cell_angle_beta 90.00
_cell_angle_gamma 120.00
_space_group_name_H-M_alt 'P 63/m m c'
_space_group_IT_number 194
_space_group_name_Hall '-P 6c 2c'
loop_
_atom_site_label
_atom_site_type_symbol
_atom_site_fract_x
_atom_site_fract_y
_atom_site_fract_z
Ag1 Ag 0.3333 0.6667 0.2500
Ge1 Ge 0.0000 0.0000 0.0000
Pd1 Pd 0.1885 0.3770 0.7500
```


Record 3
This record from Alexandria describes a relaxed AgGePd2 crystal. The functional is PBE-GGA.

Cell and atoms, written as CIF:
```
data_AgGePd2
_chemical_formula_sum 'Ag1 Ge1 Pd2'
_cell_length_a 4.094
_cell_length_b 4.094
_cell_length_c 3.802
_cell_angle_alpha 90.00
_cell_angle_beta 90.00
_cell_angle_gamma 90.00
_space_group_name_H-M_alt 'P 4/m m m'
_space_group_IT_number 123
_space_group_name_Hall '-P 4 2'
loop_
_atom_site_label
_atom_site_type_symbol
_atom_site_fract_x
_atom_site_fract_y
_atom_site_fract_z
Ag1 Ag 0.000 0.000 0.000
Ge1 Ge 0.500 0.500 0.000
Pd1 Pd 0.000 0.500 0.500
```


Record 4
This record from Alexandria describes a relaxed Ag2GePd8 crystal. The functional is PBE-GGA.

Properties
- Excess energy over the best structure of this formula in the dataset: 0.0 meV per atom

Cell and atoms, written as CIF:
```
data_Ag2GePd8
_chemical_formula_sum 'Ag4 Ge2 Pd16'
_cell_length_a 14.633
_cell_length_b 4.569
_cell_length_c 5.838
_cell_angle_alpha 90.00
_cell_angle_beta 113.39
_cell_angle_gamma 90.00
_space_group_name_H-M_alt 'C 1 2/m 1'
_space_group_IT_number 12
loop_
_space_group_symop_operation_xyz
'x,y,z'
'-x,-y,-z'
'-x,y,-z'
'x,-y,z'
'x+1/2,y+1/2,z'
'-x+1/2,-y+1/2,-z'
'-x+1/2,y+1/2,-z'
'x+1/2,-y+1/2,z'
loop_
_atom_site_label
_atom_site_type_symbol
_atom_site_fract_x
_atom_site_fract_y
_atom_site_fract_z
Ag1 Ag 0.188 0.000 0.187
Ge1 Ge 0.000 0.500 0.500
Pd1 Pd 0.000 0.000 0.247
Pd2 Pd 0.136 0.500 0.899
Pd3 Pd 0.137 0.500 0.375
Pd4 Pd 0.177 0.000 0.677
```


Record 5
This record from Alexandria describes a relaxed AgGePd2 crystal. The functional is PBE-GGA.

Cell and atoms, written as CIF:
```
data_AgGePd2
_chemical_formula_sum 'Ag4 Ge4 Pd8'
_cell_length_a 7.112
_cell_length_b 7.112
_cell_length_c 5.480
_cell_angle_alpha 90.00
_cell_angle_beta 90.00
_cell_angle_gamma 90.00
_space_group_name_H-M_alt 'I -4 2 d'
_space_group_IT_number 122
_space_group_name_Hall 'I -4 2bw'
loop_
_atom_site_label
_atom_site_type_symbol
_atom_site_fract_x
_atom_site_fract_y
_atom_site_fract_z
Ag1 Ag 0.000 0.000 0.000
Ge1 Ge 0.000 0.000 0.500
Pd1 Pd 0.209 0.750 0.625
```


Record 6
This record from Alexandria describes a relaxed AgGePd3 crystal. The functional is PBE-GGA.

Properties
- Excess energy over the best structure of this formula in the dataset: 1123.1 meV per atom

Cell and atoms, written as CIF:
```
data_AgGePd3
_chemical_formula_sum 'Ag1 Ge1 Pd3'
_cell_length_a 4.896
_cell_length_b 4.896
_cell_length_c 4.896
_cell_angle_alpha 90.00
_cell_angle_beta 90.00
_cell_angle_gamma 90.00
_space_group_name_H-M_alt 'P m -3 m'
_space_group_IT_number 221
_space_group_name_Hall '-P 4 2 3'
loop_
_atom_site_label
_atom_site_type_symbol
_atom_site_fract_x
_atom_site_fract_y
_atom_site_fract_z
Ag1 Ag 0.000 0.000 0.000
Ge1 Ge 0.500 0.500 0.500
Pd1 Pd 0.000 0.000 0.500
```


Record 7
This record from Alexandria describes a relaxed AgGePd14 crystal. The functional is PBE-GGA.

Cell and atoms, written as CIF:
```
data_AgGePd14
_chemical_formula_sum 'Ag2 Ge2 Pd28'
_cell_length_a 9.147
_cell_length_b 5.641
_cell_length_c 9.593
_cell_angle_alpha 90.00
_cell_angle_beta 90.00
_cell_angle_gamma 90.00
_space_group_name_H-M_alt 'A m m 2'
_space_group_IT_number 38
loop_
_space_group_symop_operation_xyz
'x,y,z'
'-x,-y,z'
'-x,y,z'
'x,-y,z'
'x,y+1/2,z+1/2'
'-x,-y+1/2,z+1/2'
'-x,y+1/2,z+1/2'
'x,-y+1/2,z+1/2'
loop_
_atom_site_label
_atom_site_type_symbol
_atom_site_fract_x
_atom_site_fract_y
_atom_site_fract_z
Ag1 Ag 0.000 0.000 0.000
Ge1 Ge 0.000 0.000 0.504
Pd1 Pd 0.000 0.249 0.752
Pd2 Pd 0.246 0.246 0.579
Pd3 Pd 0.247 0.000 0.330
Pd4 Pd 0.253 0.000 0.829
Pd5 Pd 0.500 0.000 0.159
Pd6 Pd 0.500 0.000 0.659
Pd7 Pd 0.500 0.249 0.409
```


Record 8
This record from Alexandria describes a relaxed AgGePd crystal. The functional is PBE-GGA.

Properties
- Excess energy over the best structure of this formula in the dataset: 0.0 meV per atom

Cell and atoms, written as CIF:
```
data_AgGePd
_chemical_formula_sum 'Ag1 Ge1 Pd1'
_cell_length_a 4.4044
_cell_length_b 4.4044
_cell_length_c 2.9783
_cell_angle_alpha 90.00
_cell_angle_beta 90.00
_cell_angle_gamma 120.00
_space_group_name_H-M_alt 'P -6 m 2'
_space_group_IT_number 187
_space_group_name_Hall 'P -6 2'
loop_
_atom_site_label
_atom_site_type_symbol
_atom_site_fract_x
_atom_site_fract_y
_atom_site_fract_z
Ag1 Ag 0.0000 0.0000 0.0000
Ge1 Ge 0.6667 0.3333 0.5000
Pd1 Pd 0.3333 0.6667 0.5000
```


The calculation returns the following formation energy values, one per record and in order: 0.0130 -0.0353 -0.1875 -0.1113 -0.1279 1.0878 -0.0716 -0.1806 eV per atom.